(1)
Compound: PaOsO5
Source: the Alexandria database
Functional: PBE
Structure: relaxed

a = 7.4065 Å, b = 8.3258 Å, c = 7.4110 Å
α = 90.00°, β = 116.72°, γ = 90.00°
Last column: nearest neighbours and their distance in Å.
Space group C2/c (No. 15)
Symmetry-distinct sites (fractional):
Pa  0.0000  0.0776  0.2500 (multiplicity 4)  4 O 2.14-2.17
Os  0.2500  0.2500  0.0000 (multiplicity 4)  6 O 1.90-2.04
O  0.0000  0.2107  0.7500 (multiplicity 4)  2 Os 1.97
O  0.0901  0.2842  0.1382 (multiplicity 8)  1 Os 1.90
O  0.2029  0.0148  0.0457 (multiplicity 8)  1 Os 2.04, 1 Pa 2.17

Total moment: 8.8 μB/cell
E_form (uncorrected): -1.972 eV/atom
DOS(E_F): 0.378 states/eV/atom
DFT total energy: -8.47 eV per atom

---

(2)
Compound: PaOsPb2O8
Source: the Alexandria database
Functional: PBE
Structure: relaxed

a = 5.3659 Å, b = 6.7267 Å, c = 5.4216 Å
α = 90.00°, β = 90.47°, γ = 90.00°
Last column: nearest neighbours and their distance in Å.
Space group P2/m (No. 10)
Symmetry-distinct sites (fractional):
Pa  0.0000  0.0000  0.0000 (multiplicity 1)  6 O 2.11-2.25
Os  0.0000  0.5000  0.0000 (multiplicity 1)  2 O 1.79
Pb  0.5000  0.2548  0.5000 (multiplicity 2)  6 O 2.40-2.60
O  0.1645  0.2727  0.8257 (multiplicity 4)  1 Os 2.01
O  0.2455  0.5000  0.2254 (multiplicity 2)  1 Os 1.79
O  0.2828  0.0000  0.2737 (multiplicity 2)  1 Pa 2.11

Total moment: 0.0 μB/cell
E_form (uncorrected): -1.723 eV/atom
DOS(E_F): 0.194 states/eV/atom
DFT total energy: -7.37 eV per atom

---

(3)
Compound: PaOsPbO6
Source: the Alexandria database
Functional: PBE
Structure: relaxed

a = 7.2499 Å, b = 7.9722 Å, c = 11.0333 Å
α = 90.00°, β = 90.00°, γ = 90.00°
Last column: nearest neighbours and their distance in Å.
Space group Imma (No. 74)
Symmetry-distinct sites (fractional):
Pa  0.0000  0.0000  0.0000 (multiplicity 4)  6 O 2.15-2.24
Os  0.2500  0.2500  0.2500 (multiplicity 4)  6 O 1.85-1.98
Pb  0.0000  0.2500  0.7062 (multiplicity 4)  1 O 2.22
O  0.0000  0.2500  0.2851 (multiplicity 4)  2 Os 1.85
O  0.0000  0.2500  0.9076 (multiplicity 4)  1 Pb 2.22, 2 Pa 2.24
O  0.2075  0.0702  0.1297 (multiplicity 16)  1 Os 1.98, 1 Pa 2.15

Total moment: 2.8 μB/cell
E_form (uncorrected): -1.862 eV/atom
DOS(E_F): 0.312 states/eV/atom
DFT total energy: -7.88 eV per atom

---

(4)
Compound: Pm2PaOsO8
Source: the Alexandria database
Functional: PBE
Structure: relaxed

a = 5.1342 Å, b = 6.8845 Å, c = 5.1395 Å
α = 90.00°, β = 91.57°, γ = 90.00°
Last column: nearest neighbours and their distance in Å.
Space group P2/m (No. 10)
Symmetry-distinct sites (fractional):
Pm  0.0000  0.2392  0.0000 (multiplicity 2)  6 O 2.31-2.39
Pa  0.5000  0.5000  0.5000 (multiplicity 1)  6 O 2.10-2.27
Os  0.5000  0.0000  0.5000 (multiplicity 1)  6 O 1.96-2.04
O  0.2068  0.5000  0.2060 (multiplicity 2)  1 Pa 2.10, 2 Pm 2.33
O  0.2274  0.0000  0.2266 (multiplicity 2)  1 Os 1.96
O  0.3244  0.2290  0.6748 (multiplicity 4)  1 Os 2.04, 1 Pa 2.27

Total moment: 3.0 μB/cell
E_form (uncorrected): -2.693 eV/atom
DOS(E_F): 0.003 states/eV/atom
DFT total energy: -8.52 eV per atom

---

(5)
Compound: RbPa2OsO8
Source: the Alexandria database
Functional: PBE
Structure: relaxed

a = 7.5928 Å, b = 6.9661 Å, c = 7.2768 Å
α = 90.00°, β = 96.71°, γ = 90.00°
Last column: nearest neighbours and their distance in Å.
Space group C2/m (No. 12)
Symmetry-distinct sites (fractional):
Rb  0.0000  0.0000  0.0000 (multiplicity 2)  6 O 2.58-2.70
Pa  0.0247  0.5000  0.2487 (multiplicity 4)  5 O 2.13-2.19
Os  0.0000  0.0000  0.5000 (multiplicity 2)  6 O 1.97-2.02
O  0.0108  0.2056  0.6868 (multiplicity 8)  1 Os 1.97, 1 Pa 2.13
O  0.1596  0.5000  0.9993 (multiplicity 4)  2 Pa 2.15-2.19
O  0.2325  0.5000  0.4783 (multiplicity 4)  1 Os 2.02, 1 Pa 2.16

Total moment: 6.0 μB/cell
E_form (uncorrected): -2.420 eV/atom
DFT total energy: -8.32 eV per atom

---

(6)
Compound: Rb2PaOsO6
Source: the Alexandria database
Functional: PBE
Structure: relaxed

a = 8.4041 Å, b = 8.4041 Å, c = 8.4041 Å
α = 90.00°, β = 90.00°, γ = 90.00°
Last column: nearest neighbours and their distance in Å.
Space group Fm-3m (No. 225)
Symmetry-distinct sites (fractional):
Rb  0.2500  0.2500  0.2500 (multiplicity 8)  12 O 2.97
Pa  0.0000  0.0000  0.0000 (multiplicity 4)  6 O 2.20
Os  0.0000  0.0000  0.5000 (multiplicity 4)  6 O 2.00
O  0.0000  0.0000  0.2622 (multiplicity 24)  1 Os 2.00, 1 Pa 2.20

Total moment: 11.4 μB/cell
E_form (uncorrected): -2.132 eV/atom
DOS(E_F): 0.198 states/eV/atom
DFT total energy: -7.37 eV per atom

---

(7)
Compound: ScPaOsO6
Source: the Alexandria database
Functional: PBE
Structure: relaxed

a = 5.3597 Å, b = 5.3597 Å, c = 9.3517 Å
α = 90.00°, β = 90.00°, γ = 120.00°
Last column: nearest neighbours and their distance in Å.
Space group P-31c (No. 163)
Symmetry-distinct sites (fractional):
Sc  0.0000  0.0000  0.0000 (multiplicity 2)  6 O 2.16
Pa  0.3333  0.6667  0.2500 (multiplicity 2)  6 O 2.21
Os  0.3333  0.6667  0.7500 (multiplicity 2)  6 O 2.03
O  0.0269  0.3459  0.6292 (multiplicity 12)  1 Os 2.03, 1 Sc 2.16, 1 Pa 2.21

Total moment: 4.0 μB/cell
E_form (uncorrected): -2.540 eV/atom
DOS(E_F): 0.530 states/eV/atom
DFT total energy: -8.85 eV per atom

---

(8)
Compound: PaSiOsO
Source: the Alexandria database
Functional: PBE
Structure: relaxed

a = 4.0922 Å, b = 4.0922 Å, c = 7.4968 Å
α = 90.00°, β = 90.00°, γ = 90.00°
Last column: nearest neighbours and their distance in Å.
Space group P4/nmm (No. 129, origin choice 2)
Symmetry-distinct sites (fractional):
Pa  0.2500  0.2500  0.1637 (multiplicity 2)  4 O 2.39
Si  0.2500  0.2500  0.6636 (multiplicity 2)  4 Os 2.39
Os  0.2500  0.7500  0.5000 (multiplicity 2)  4 Si 2.39
O  0.2500  0.7500  0.0000 (multiplicity 2)  4 Pa 2.39

Total moment: 0.9 μB/cell
E_form (uncorrected): -1.654 eV/atom
DOS(E_F): 0.988 states/eV/atom
DFT total energy: -9.43 eV per atom

---

(9)
Compound: SrPaOsO6
Source: the Alexandria database
Functional: PBE
Structure: relaxed

a = 5.5744 Å, b = 5.5744 Å, c = 10.6361 Å
α = 90.00°, β = 90.00°, γ = 120.00°
Last column: nearest neighbours and their distance in Å.
Space group P-31c (No. 163)
Symmetry-distinct sites (fractional):
Sr  0.0000  0.0000  0.0000 (multiplicity 2)  6 O 2.57
Pa  0.3333  0.6667  0.2500 (multiplicity 2)  6 O 2.19
Os  0.3333  0.6667  0.7500 (multiplicity 2)  6 O 1.99
O  0.0264  0.3785  0.6463 (multiplicity 12)  1 Os 1.99, 1 Pa 2.19

Total moment: 6.0 μB/cell
E_form (uncorrected): -2.454 eV/atom
DFT total energy: -8.25 eV per atom

---

(10)
Compound: Pa2TlOsO8
Source: the Alexandria database
Functional: PBE
Structure: relaxed

a = 5.3767 Å, b = 5.3767 Å, c = 7.8850 Å
α = 90.00°, β = 90.00°, γ = 120.00°
Last column: nearest neighbours and their distance in Å.
Space group P-3m1 (No. 164)
Symmetry-distinct sites (fractional):
Pa  0.3333  0.6667  0.3767 (multiplicity 2)  1 O 1.87
Tl  0.0000  0.0000  0.0000 (multiplicity 1)  12 O 3.29-3.35
Os  0.0000  0.0000  0.5000 (multiplicity 1)  6 O 1.94
O  0.1768  0.3537  0.6295 (multiplicity 6)  1 Os 1.94
O  0.3333  0.6667  0.1392 (multiplicity 2)  1 Pa 1.87

Total moment: 1.4 μB/cell
E_form (uncorrected): -2.107 eV/atom
DOS(E_F): 0.465 states/eV/atom
DFT total energy: -8.13 eV per atom

---

(11)
Compound: PaTl2OsO8
Source: the Alexandria database
Functional: PBE
Structure: relaxed

a = 5.1047 Å, b = 6.7319 Å, c = 5.1067 Å
α = 90.00°, β = 90.56°, γ = 90.00°
Last column: nearest neighbours and their distance in Å.
Space group P2/m (No. 10)
Symmetry-distinct sites (fractional):
Pa  0.0000  0.0000  0.0000 (multiplicity 1)  6 O 2.10-2.26
Tl  0.5000  0.2589  0.5000 (multiplicity 2)  6 O 2.30-2.38
Os  0.0000  0.5000  0.0000 (multiplicity 1)  6 O 1.85-2.03
O  0.1832  0.2718  0.8192 (multiplicity 4)  1 Os 2.03, 1 Pa 2.26
O  0.2562  0.5000  0.2591 (multiplicity 2)  1 Os 1.85
O  0.2907  0.0000  0.2931 (multiplicity 2)  1 Pa 2.10, 2 Tl 2.30

Total moment: 0.0 μB/cell
E_form (uncorrected): -1.534 eV/atom
DOS(E_F): 0.290 states/eV/atom
DFT total energy: -6.96 eV per atom

---

(12)
Compound: PaTlOs2O8
Source: the Alexandria database
Functional: PBE
Structure: relaxed

a = 5.9278 Å, b = 5.9278 Å, c = 7.8697 Å
α = 90.00°, β = 90.00°, γ = 120.00°
Last column: nearest neighbours and their distance in Å.
Space group P-3m1 (No. 164)
Symmetry-distinct sites (fractional):
Pa  0.0000  0.0000  0.0000 (multiplicity 1)  6 O 2.18
Tl  0.0000  0.0000  0.5000 (multiplicity 1)  12 O 3.16-3.42
Os  0.3333  0.6667  0.2725 (multiplicity 2)  4 O 1.75-1.87
O  0.1702  0.3403  0.1661 (multiplicity 6)  1 Os 1.87
O  0.3333  0.6667  0.4953 (multiplicity 2)  1 Os 1.75

Total moment: 1.0 μB/cell
E_form (uncorrected): -1.435 eV/atom
DOS(E_F): 0.851 states/eV/atom
DFT total energy: -7.60 eV per atom